Entry 1:
The following is a DFT calculation (PBE) of a geometry-optimized Sc4Os2W structure.

Output
Formation enthalpy at 0 K: 80 kJ/mol of atoms
Crystal system: tetragonal

Cell and atoms, written as POSCAR:
```
Sc4Os2W
1.0
4.9961 0.0000 0.0000
0.0000 4.9961 0.0000
0.0000 0.0000 12.6376
Sc Os W
8 4 2
Direct
0.0000 0.0000 0.2051
0.0000 0.0000 0.7949
0.0000 0.5000 0.0000
0.0000 0.5000 0.5000
0.5000 0.0000 0.0000
0.5000 0.0000 0.5000
0.5000 0.5000 0.2949
0.5000 0.5000 0.7051
0.0000 0.0000 0.3951
0.0000 0.0000 0.6049
0.5000 0.5000 0.1049
0.5000 0.5000 0.8951
0.0000 0.0000 0.0000
0.5000 0.5000 0.5000
```


Entry 2:
The following is a DFT calculation (PBE) of a geometry-optimized PmSmPtBr structure.

Output
Raw formation energy: -1.23 eV/atom
Crystal system: trigonal

Cell and atoms, written as POSCAR:
```
PmSmPtBr
1.0
4.1737 0.0000 0.0000
-2.0868 3.6145 0.0000
0.0000 0.0000 23.4658
Pm Sm Pt Br
3 3 3 3
Direct
0.0000 0.0000 0.0000
0.3333 0.6667 0.6667
0.6667 0.3333 0.3333
0.0000 0.0000 0.2034
0.3333 0.6667 0.8701
0.6667 0.3333 0.5367
0.0000 0.0000 0.6012
0.3333 0.6667 0.2679
0.6667 0.3333 0.9346
0.0000 0.0000 0.7716
0.3333 0.6667 0.4383
0.6667 0.3333 0.1050
```


no.,E (eV/atom),mass density (g cm⁻³)
1,-7.85,7.8
2,-5.53,8.0